SCAN SrTiBeW2, PBEsol geometry; ΔE_f = 1.4313 eV per atom; space-group type = P4/mmm, No. 123; magnetic moment = 1.72 μB per formula unit
1.0
4.3231 0.0000 0.0000
0.0000 4.3231 0.0000
0.0000 0.0000 5.0580
Sr Ti Be W
1 1 1 2
direct
0.0000 0.0000 0.0000 Sr
0.5000 0.5000 0.0000 Ti
0.0000 0.0000 0.5000 Be
0.0000 0.5000 0.5000 W
0.5000 0.0000 0.5000 W



SCAN ReWAu2, PBEsol geometry; ΔE_f = 0.4370 eV per atom; polymorph energy (0 for the lowest one) = 0.0284 eV/atom; space-group type = C2/m, No. 12; magnetic moment = 0.00 μB per formula unit
1.0
4.7768 -1.3997 0.0000
4.7768 1.3997 0.0000
-0.8221 0.0000 4.7143
Re W Au
1 1 2
direct
0.0000 0.0000 0.0000 Re
0.5000 0.5000 0.5000 W
0.2508 0.2508 0.7497 Au
0.7492 0.7492 0.2503 Au



SCAN HfNi2MoRu, PBEsol geometry; ΔE_f = 1.5107 eV per atom; space-group type = P4/mmm, No. 123; magnetic moment = 3.95 μB per formula unit
1.0
4.3887 0.0000 0.0000
0.0000 4.3887 0.0000
0.0000 0.0000 4.6069
Hf Ni Mo Ru
1 2 1 1
direct
0.0000 0.0000 0.0000 Hf
0.0000 0.5000 0.0000 Ni
0.5000 0.0000 0.0000 Ni
0.5000 0.5000 0.5000 Mo
0.0000 0.0000 0.5000 Ru



SCAN Li3SbBr, PBEsol geometry; ΔE_f (raw) = -0.716 eV per atom; space-group type = Pm-3m, No. 221; magnetic moment = 1.00 μB per formula unit
1.0
4.7791 0.0000 0.0000
0.0000 4.7791 0.0000
0.0000 0.0000 4.7791
Li Sb Br
3 1 1
direct
0.0000 0.0000 0.5000 Li
0.0000 0.5000 0.0000 Li
0.5000 0.0000 0.0000 Li
0.5000 0.5000 0.5000 Sb
0.0000 0.0000 0.0000 Br